No. 1
! Sm2Zn6Ag3 | Alexandria | PBE | optimized geometry; values from VASP
&SYSTEM
  ibrav = 0, nat = 11, ntyp = 3
/
ATOMIC_SPECIES
Sm 150.36 Sm.upf
Ag 107.87 Ag.upf
Zn 65.41 Zn.upf
ATOMIC_POSITIONS crystal
Sm 0.000 0.708 0.292
Sm 0.000 0.292 0.708
Ag 0.000 0.793 0.793
Ag 0.500 0.000 0.000
Ag 0.000 0.207 0.207
Zn 0.500 0.619 0.619
Zn 0.500 0.381 0.381
Zn 0.500 0.354 0.040
Zn 0.500 0.040 0.354
Zn 0.500 0.960 0.646
Zn 0.500 0.646 0.960
CELL_PARAMETERS angstrom
-3.274 -2.180 0.661
-0.975 -0.796 -7.454
4.302 -6.105 1.176
! - energy (eV per atom) = -2.46
! - DOS at the Fermi energy (states/eV/f.u.) = 5.9

***

No. 2
! Sm6Zn3Ag | Alexandria | PBE | optimized geometry; values from VASP
&SYSTEM
  ibrav = 0, nat = 20, ntyp = 3
/
ATOMIC_SPECIES
Sm 150.36 Sm.upf
Ag 107.87 Ag.upf
Zn 65.41 Zn.upf
ATOMIC_POSITIONS crystal
Sm 0.250 0.843 0.313
Sm 0.750 0.157 0.687
Sm 0.250 0.108 0.873
Sm 0.750 0.735 0.497
Sm 0.750 0.349 0.320
Sm 0.250 0.651 0.680
Sm 0.250 0.128 0.152
Sm 0.250 0.265 0.503
Sm 0.750 0.529 0.904
Sm 0.750 0.872 0.848
Sm 0.250 0.471 0.096
Sm 0.750 0.892 0.127
Ag 0.750 0.054 0.401
Ag 0.250 0.946 0.599
Zn 0.750 0.228 0.024
Zn 0.750 0.616 0.217
Zn 0.750 0.468 0.620
Zn 0.250 0.384 0.783
Zn 0.250 0.772 0.976
Zn 0.250 0.532 0.380
CELL_PARAMETERS angstrom
5.189 0.000 0.000
0.000 8.735 -2.905
0.000 0.047 11.535
! - energy (eV per atom) = -3.69
! - DOS at the Fermi energy (states/eV/f.u.) = 10.1

***

No. 3
! Sm3Zn2Ag3 | Alexandria | PBE | optimized geometry; values from VASP
&SYSTEM
  ibrav = 0, nat = 8, ntyp = 3
/
ATOMIC_SPECIES
Zn 65.41 Zn.upf
Sm 150.36 Sm.upf
Ag 107.87 Ag.upf
ATOMIC_POSITIONS crystal
Zn 0.000 0.667 0.333
Zn 0.000 0.333 0.667
Sm 0.500 0.000 0.619
Sm 0.500 0.381 0.381
Sm 0.500 0.619 0.000
Ag 0.000 0.758 0.758
Ag 0.000 0.000 0.242
Ag 0.000 0.242 0.000
CELL_PARAMETERS angstrom
-2.783 -0.127 2.932
-4.756 -3.072 -4.647
4.432 -4.219 4.025
! - energy (eV per atom) = -3.40
! - polymorph energy (0 for the lowest one) (meV/atom) = 43.4
! - DOS at the Fermi energy (states/eV/f.u.) = 9.3

***

Question: Which formula does entry 3 have?
Answer: Sm3Zn2Ag3

***

Question: Look up the DOS at the Fermi energy of the first one.
Answer: 5.9 states/eV/f.u.

***

Copy entry 2 word for word.
! Sm6Zn3Ag | Alexandria | PBE | optimized geometry; values from VASP
&SYSTEM
  ibrav = 0, nat = 20, ntyp = 3
/
ATOMIC_SPECIES
Sm 150.36 Sm.upf
Ag 107.87 Ag.upf
Zn 65.41 Zn.upf
ATOMIC_POSITIONS crystal
Sm 0.250 0.843 0.313
Sm 0.750 0.157 0.687
Sm 0.250 0.108 0.873
Sm 0.750 0.735 0.497
Sm 0.750 0.349 0.320
Sm 0.250 0.651 0.680
Sm 0.250 0.128 0.152
Sm 0.250 0.265 0.503
Sm 0.750 0.529 0.904
Sm 0.750 0.872 0.848
Sm 0.250 0.471 0.096
Sm 0.750 0.892 0.127
Ag 0.750 0.054 0.401
Ag 0.250 0.946 0.599
Zn 0.750 0.228 0.024
Zn 0.750 0.616 0.217
Zn 0.750 0.468 0.620
Zn 0.250 0.384 0.783
Zn 0.250 0.772 0.976
Zn 0.250 0.532 0.380
CELL_PARAMETERS angstrom
5.189 0.000 0.000
0.000 8.735 -2.905
0.000 0.047 11.535
! - energy (eV per atom) = -3.69
! - DOS at the Fermi energy (states/eV/f.u.) = 10.1

***

Question: Among the records above, which one has the lowest energy?
Answer: Sm6Zn3Ag